! Cd2CuSnF (PBE-GGA, relaxed); values from VASP
! **DOS at the Fermi energy**: 1.789 states/eV per cell
! **Magnetization**: 0.00 μB/f.u.
! **Space group**: P4/mmm (123)
! **Energy relative to the elements, uncorrected**: -0.243 eV/atom
&SYSTEM
  ibrav = 0, nat = 5, ntyp = 4
/
ATOMIC_SPECIES
Cd 112.41 Cd.upf
Cu 63.55 Cu.upf
Sn 118.71 Sn.upf
F 19.00 F.upf
CELL_PARAMETERS angstrom
5.2489 0.0000 0.0000
0.0000 5.2489 0.0000
0.0000 0.0000 3.8580
ATOMIC_POSITIONS crystal
Cd 0.0000 0.5000 0.0000
Cd 0.5000 0.0000 0.0000
Cu 0.0000 0.0000 0.5000
Sn 0.5000 0.5000 0.5000
F 0.0000 0.0000 0.0000

***

! SrCdCuF6 (PBE-GGA, relaxed); values from VASP
! **DOS at the Fermi energy**: 7.047 states/eV per cell
! **Magnetization**: 1.00 μB/f.u.
! **Space group**: P312 (149)
! **Energy relative to the elements, uncorrected**: -2.509 eV/atom
&SYSTEM
  ibrav = 0, nat = 9, ntyp = 4
/
ATOMIC_SPECIES
Sr 87.62 Sr.upf
Cd 112.41 Cd.upf
Cu 63.55 Cu.upf
F 19.00 F.upf
CELL_PARAMETERS angstrom
5.6291 0.0000 0.0000
-2.8146 4.8750 0.0000
0.0000 0.0000 5.2128
ATOMIC_POSITIONS crystal
Sr 0.0000 0.0000 0.0000
Cd 0.6667 0.3333 0.5000
Cu 0.3333 0.6667 0.5000
F 0.0266 0.3663 0.2786
F 0.0266 0.6603 0.7214
F 0.3397 0.3663 0.7214
F 0.3397 0.9734 0.2786
F 0.6337 0.6603 0.2786
F 0.6337 0.9734 0.7214

***

! SrCdCuF2 (PBE-GGA, relaxed); values from VASP
! **DOS at the Fermi energy**: 1.196 states/eV per cell
! **Magnetization**: 0.00 μB/f.u.
! **Space group**: P4/mmm (123)
! **Energy relative to the elements, uncorrected**: -1.610 eV/atom
&SYSTEM
  ibrav = 0, nat = 5, ntyp = 4
/
ATOMIC_SPECIES
Sr 87.62 Sr.upf
Cd 112.41 Cd.upf
Cu 63.55 Cu.upf
F 19.00 F.upf
CELL_PARAMETERS angstrom
4.5152 0.0000 0.0000
0.0000 4.5152 0.0000
0.0000 0.0000 6.7107
ATOMIC_POSITIONS crystal
Sr 0.0000 0.0000 0.0000
Cd 0.5000 0.5000 0.5000
Cu 0.0000 0.0000 0.5000
F 0.0000 0.5000 0.0000
F 0.5000 0.0000 0.0000

***

! SrCd2CuF8 (PBE-GGA, relaxed); values from VASP
! **Magnetization**: 0.97 μB/f.u.
! **Space group**: P-1 (2)
! **Energy relative to the elements, uncorrected**: -2.438 eV/atom
&SYSTEM
  ibrav = 0, nat = 12, ntyp = 4
/
ATOMIC_SPECIES
Sr 87.62 Sr.upf
Cd 112.41 Cd.upf
Cu 63.55 Cu.upf
F 19.00 F.upf
CELL_PARAMETERS angstrom
4.0704 0.0000 0.0000
0.2711 5.5205 0.0000
0.1918 0.5146 7.7825
ATOMIC_POSITIONS crystal
Sr 0.0000 0.0000 0.0000
Cd 0.4613 0.4849 0.2587
Cd 0.5387 0.5151 0.7413
Cu 0.0000 0.0000 0.5000
F 0.0530 0.3420 0.7701
F 0.1068 0.1545 0.2858
F 0.3670 0.7504 0.4904
F 0.4886 0.7418 0.9788
F 0.5114 0.2582 0.0212
F 0.6330 0.2496 0.5096
F 0.8932 0.8455 0.7142
F 0.9470 0.6580 0.2299

***

! TlCdCu2F8 (PBE-GGA, relaxed); values from VASP
! **DOS at the Fermi energy**: 5.492 states/eV per cell
! **Magnetization**: 1.02 μB/f.u.
! **Space group**: I-4 (82)
! **Energy relative to the elements, uncorrected**: -1.709 eV/atom
&SYSTEM
  ibrav = 0, nat = 12, ntyp = 4
/
ATOMIC_SPECIES
Tl 204.38 Tl.upf
Cd 112.41 Cd.upf
Cu 63.55 Cu.upf
F 19.00 F.upf
CELL_PARAMETERS angstrom
-2.7325 2.7325 5.4365
2.7325 -2.7325 5.4365
2.7325 2.7325 -5.4365
ATOMIC_POSITIONS crystal
Tl 0.0000 0.0000 0.0000
Cd 0.2500 0.7500 0.5000
Cu 0.5000 0.5000 0.0000
Cu 0.7500 0.2500 0.5000
F 0.2582 0.7145 0.1152
F 0.2855 0.4006 0.5437
F 0.3875 0.0122 0.0467
F 0.5994 0.1430 0.8848
F 0.6592 0.6125 0.6247
F 0.8570 0.7418 0.4563
F 0.9655 0.3408 0.9533
F 0.9878 0.0345 0.3753

***

! Tl3CdCu2F9 (PBE-GGA, relaxed); values from VASP
! **DOS at the Fermi energy**: 3.275 states/eV per cell
! **Magnetization**: 2.04 μB/f.u.
! **Space group**: P-3m1 (164)
! **Energy relative to the elements, uncorrected**: -1.771 eV/atom
&SYSTEM
  ibrav = 0, nat = 15, ntyp = 4
/
ATOMIC_SPECIES
Tl 204.38 Tl.upf
Cd 112.41 Cd.upf
Cu 63.55 Cu.upf
F 19.00 F.upf
CELL_PARAMETERS angstrom
6.0166 0.0000 0.0000
-3.0083 5.2105 0.0000
0.0000 0.0000 7.3959
ATOMIC_POSITIONS crystal
Tl 0.0000 0.0000 0.0000
Tl 0.3333 0.6667 0.6704
Tl 0.6667 0.3333 0.3296
Cd 0.0000 0.0000 0.5000
Cu 0.3333 0.6667 0.1546
Cu 0.6667 0.3333 0.8454
F 0.0000 0.5000 0.0000
F 0.1744 0.3487 0.3186
F 0.1744 0.8256 0.3186
F 0.3487 0.1744 0.6814
F 0.5000 0.0000 0.0000
F 0.5000 0.5000 0.0000
F 0.6513 0.8256 0.3186
F 0.8256 0.1744 0.6814
F 0.8256 0.6513 0.6814

***

Question: Which value of energy relative to the elements, uncorrected does entry 4 give?
Answer: -2.438 eV/atom

***

Question: Which value of magnetization does entry 4 give?
Answer: 0.97 μB/f.u.